The following is a DFT calculation (PBE) of a geometry-optimized NdAg3Os4O12 structure.

Properties
The total moment is 5.04 μB per formula unit. Its total energy is -6.786 eV per atom. The crystal system is cubic.

a = 6.6894 Å, b = 6.6894 Å, c = 6.6894 Å
α = 109.47°, β = 109.47°, γ = 109.47°
Atoms (fractional coordinates):
Nd  0.0000  0.0000  0.0000
Ag  0.0000  0.5000  0.5000
Ag  0.5000  0.0000  0.5000
Ag  0.5000  0.5000  0.0000
Os  0.0000  0.0000  0.5000
Os  0.0000  0.5000  0.0000
Os  0.5000  0.0000  0.0000
Os  0.5000  0.5000  0.5000
O  0.0857  0.8073  0.2785
O  0.1927  0.2785  0.4712
O  0.1927  0.7215  0.9143
O  0.2785  0.0857  0.8073
O  0.2785  0.4712  0.1927
O  0.4712  0.1927  0.2785
O  0.5288  0.8073  0.7215
O  0.7215  0.5288  0.8073
O  0.7215  0.9143  0.1927
O  0.8073  0.2785  0.0857
O  0.8073  0.7215  0.5288
O  0.9143  0.1927  0.7215

The following is a DFT calculation (PBE) of a geometry-optimized PrNdAg2O4 structure.

Properties
The total moment is 0.00 μB per formula unit. Its total energy is -6.502 eV per atom. The crystal system is trigonal.

a = 3.6987 Å, b = 3.6987 Å, c = 12.5063 Å
α = 90.00°, β = 90.00°, γ = 120.00°
Atoms (fractional coordinates):
Pr  0.0000  0.0000  0.0000
Nd  0.0000  0.0000  0.5000
Ag  0.3333  0.6667  0.7490
Ag  0.6667  0.3333  0.2510
O  0.3333  0.6667  0.5845
O  0.3333  0.6667  0.9135
O  0.6667  0.3333  0.0865
O  0.6667  0.3333  0.4155

The following is a DFT calculation (PBE) of a geometry-optimized PrNdAg2Se2O2 structure.

Properties
The total moment is 0.00 μB per formula unit. Its total energy is -5.918 eV per atom. The crystal system is tetragonal.

a = 4.0866 Å, b = 4.0866 Å, c = 9.3226 Å
α = 90.00°, β = 90.00°, γ = 90.00°
Atoms (fractional coordinates):
Pr  0.0000  0.0000  0.0000
Nd  0.5000  0.5000  0.7461
Ag  0.0000  0.5000  0.3721
Ag  0.5000  0.0000  0.3721
Se  0.0000  0.0000  0.5748
Se  0.5000  0.5000  0.1699
O  0.0000  0.5000  0.8708
O  0.5000  0.0000  0.8708

The following is a DFT calculation (PBE) of a geometry-optimized NdAg3Pt4O12 structure.

Properties
The total moment is 1.15 μB per formula unit. Its total energy is -5.505 eV per atom. The crystal system is cubic.

a = 6.7427 Å, b = 6.7427 Å, c = 6.7427 Å
α = 109.47°, β = 109.47°, γ = 109.47°
Atoms (fractional coordinates):
Nd  0.0000  0.0000  0.0000
Ag  0.0000  0.5000  0.5000
Ag  0.5000  0.0000  0.5000
Ag  0.5000  0.5000  0.0000
Pt  0.0000  0.0000  0.5000
Pt  0.0000  0.5000  0.0000
Pt  0.5000  0.0000  0.0000
Pt  0.5000  0.5000  0.5000
O  0.1120  0.8264  0.2856
O  0.1736  0.2856  0.4592
O  0.1736  0.7144  0.8880
O  0.2856  0.1120  0.8264
O  0.2856  0.4592  0.1736
O  0.4592  0.1736  0.2856
O  0.5408  0.8264  0.7144
O  0.7144  0.5408  0.8264
O  0.7144  0.8880  0.1736
O  0.8264  0.2856  0.1120
O  0.8264  0.7144  0.5408
O  0.8880  0.1736  0.7144

The following is a DFT calculation (PBE) of a geometry-optimized RbNdAg3O4 structure.

Properties
The total moment is 1.00 μB per formula unit. Its total energy is -4.566 eV per atom. The crystal system is cubic.

a = 5.7809 Å, b = 5.7809 Å, c = 5.7809 Å
α = 90.00°, β = 90.00°, γ = 90.00°
Atoms (fractional coordinates):
Rb  0.0000  0.0000  0.0000
Nd  0.5000  0.5000  0.5000
Ag  0.0000  0.5000  0.5000
Ag  0.5000  0.0000  0.5000
Ag  0.5000  0.5000  0.0000
O  0.2775  0.2775  0.2775
O  0.2775  0.7225  0.7225
O  0.7225  0.2775  0.7225
O  0.7225  0.7225  0.2775

The following is a DFT calculation (PBE) of a geometry-optimized NdAgSeO structure.

Properties
The total moment is 0.00 μB per formula unit. Its total energy is -5.703 eV per atom. The crystal system is monoclinic.

a = 6.2291 Å, b = 7.5098 Å, c = 6.8349 Å
α = 90.00°, β = 101.36°, γ = 90.00°
Atoms (fractional coordinates):
Nd  0.1083  0.1051  0.2356
Nd  0.1083  0.3949  0.7356
Nd  0.8917  0.6051  0.2644
Nd  0.8917  0.8949  0.7644
Ag  0.4127  0.7166  0.4917
Ag  0.4127  0.7834  0.9917
Ag  0.5873  0.2166  0.0083
Ag  0.5873  0.2834  0.5083
Se  0.3495  0.0406  0.6926
Se  0.3495  0.4594  0.1926
Se  0.6505  0.5406  0.8074
Se  0.6505  0.9594  0.3074
O  0.0433  0.6765  0.5841
O  0.0433  0.8235  0.0841
O  0.9567  0.1765  0.9159
O  0.9567  0.3235  0.4159

The following is a DFT calculation (PBE) of a geometry-optimized NdAgSeO structure.

Properties
The total moment is 0.00 μB per formula unit. Its total energy is -5.822 eV per atom. The crystal system is monoclinic.

a = 5.8932 Å, b = 5.8934 Å, c = 11.4862 Å
α = 90.00°, β = 92.68°, γ = 90.00°
Atoms (fractional coordinates):
Nd  0.0082  0.0000  0.0983
Nd  0.4925  0.9998  0.9023
Nd  0.5075  0.4998  0.0977
Nd  0.9918  0.5000  0.9017
Ag  0.0017  0.0242  0.7039
Ag  0.3067  0.2782  0.5038
Ag  0.6933  0.7782  0.4962
Ag  0.9983  0.5242  0.2961
Se  0.2966  0.2285  0.2901
Se  0.3009  0.3229  0.7176
Se  0.6991  0.8229  0.2824
Se  0.7034  0.7285  0.7099
O  0.2482  0.2484  0.0010
O  0.2504  0.7490  0.9998
O  0.7496  0.2490  0.0002
O  0.7518  0.7484  0.9990

The following is a DFT calculation (PBE) of a geometry-optimized NdAgSeO structure.

Properties
The total moment is 0.00 μB per formula unit. Its total energy is -5.529 eV per atom. The crystal system is orthorhombic.

a = 4.2121 Å, b = 5.9588 Å, c = 6.5692 Å
α = 90.00°, β = 90.00°, γ = 90.00°
Atoms (fractional coordinates):
Nd  0.0000  0.2480  0.0000
Nd  0.0000  0.7520  0.5000
Ag  0.5000  0.3323  0.6221
Ag  0.5000  0.6677  0.1221
Se  0.5000  0.0896  0.2914
Se  0.5000  0.9104  0.7914
O  0.0000  0.4546  0.7108
O  0.0000  0.5454  0.2108

The following is a DFT calculation (PBE) of a geometry-optimized SrNdAgO3 structure.

Properties
The total moment is 0.00 μB per formula unit. Its total energy is -6.246 eV per atom. The crystal system is orthorhombic.

a = 6.7022 Å, b = 6.7022 Å, c = 8.8167 Å
α = 90.00°, β = 90.00°, γ = 147.26°
Atoms (fractional coordinates):
Sr  0.1793  0.8207  0.7500
Sr  0.8207  0.1793  0.2500
Nd  0.5000  0.5000  0.0000
Nd  0.5000  0.5000  0.5000
Ag  0.1196  0.8804  0.2500
Ag  0.8804  0.1196  0.7500
O  0.1184  0.8816  0.0186
O  0.1184  0.8816  0.4814
O  0.4347  0.5653  0.2500
O  0.5653  0.4347  0.7500
O  0.8816  0.1184  0.5186
O  0.8816  0.1184  0.9814

The following is a DFT calculation (PBE) of a geometry-optimized NdYAg2O4 structure.

Properties
The total moment is 0.00 μB per formula unit. Its total energy is -6.775 eV per atom. The crystal system is trigonal.

a = 3.5868 Å, b = 3.5868 Å, c = 12.5104 Å
α = 90.00°, β = 90.00°, γ = 120.00°
Atoms (fractional coordinates):
Nd  0.0000  0.0000  0.0000
Y  0.0000  0.0000  0.5000
Ag  0.3333  0.6667  0.7457
Ag  0.6667  0.3333  0.2543
O  0.3333  0.6667  0.5806
O  0.3333  0.6667  0.9105
O  0.6667  0.3333  0.0895
O  0.6667  0.3333  0.4194

The following is a DFT calculation (PBE) of a geometry-optimized NdSi2AgOs structure.

Properties
The total moment is 0.01 μB per formula unit. Its total energy is -6.331 eV per atom. The crystal system is tetragonal.

a = 5.9334 Å, b = 5.9334 Å, c = 5.9334 Å
α = 138.74°, β = 138.74°, γ = 59.77°
Atoms (fractional coordinates):
Nd  0.0000  0.0000  0.0000
Si  0.3814  0.3814  0.0000
Si  0.6186  0.6186  0.0000
Ag  0.2500  0.7500  0.5000
Os  0.7500  0.2500  0.5000

The following is a DFT calculation (PBE) of a geometry-optimized SrNdAg2P2 structure.

Properties
The total moment is 0.00 μB per formula unit. Its total energy is -4.564 eV per atom. The crystal system is trigonal.

a = 4.3601 Å, b = 4.3601 Å, c = 8.2738 Å
α = 90.00°, β = 90.00°, γ = 120.00°
Atoms (fractional coordinates):
Sr  0.0000  0.0000  0.0000
Nd  0.0000  0.0000  0.4993
Ag  0.3333  0.6667  0.2672
Ag  0.6667  0.3333  0.7344
P  0.3333  0.6667  0.7363
P  0.6667  0.3333  0.2562